NdHo2Al7Ag2 | GGA-PBE | relaxed

a = 9.368 Å, b = 9.368 Å, c = 9.368 Å
α = 34.57°, β = 34.57°, γ = 34.57°
Fractional positions:
Nd 0.000 0.000 0.000
Ho 0.142 0.142 0.142
Ho 0.858 0.858 0.858
Al 0.076 0.588 0.588
Al 0.412 0.412 0.924
Al 0.412 0.924 0.412
Al 0.500 0.500 0.500
Al 0.588 0.076 0.588
Al 0.588 0.588 0.076
Al 0.924 0.412 0.412
Ag 0.336 0.336 0.336
Ag 0.664 0.664 0.664

Output
The volume comes out at 19.678 A^3/atom. The calculation puts the final energy at -4.2865 eV per atom. Its symmetry is No. 166.